No. 1
Compound: CaLa6Er5
Source: Alexandria via LeMat-Bulk
Functional: PBE
Structure: relaxed

abc: 6.336 8.132 8.132
angles: 85.25 97.54 97.54
Positions (direct):
La: 0.741 0.252 0.252
La: 0.251 0.425 0.082
La: 0.749 0.918 0.575
La: 0.749 0.575 0.918
La: 0.259 0.748 0.748
La: 0.251 0.082 0.425
Er: 0.000 0.663 0.337
Er: 0.000 0.337 0.663
Er: 0.500 0.172 0.828
Er: 0.500 0.500 0.500
Er: 0.500 0.828 0.172
Ca: 0.000 0.000 0.000

## Properties
D(E_F) = 1.24 states/eV/atom
space group = C2/m
formation enthalpy at 0 K = 0.03 eV per atom



No. 2
Compound: Na2CdO4
Source: Alexandria via LeMat-Bulk
Functional: PBE
Structure: relaxed

abc: 6.704 6.179 6.173
angles: 101.75 69.09 69.08
Positions (direct):
Na: 0.350 0.530 0.588
Na: 0.241 0.381 0.090
Na: 0.850 0.339 0.781
Na: 0.741 0.840 0.631
O: 0.341 0.903 0.808
O: 0.957 0.024 0.436
O: 0.003 0.586 0.924
O: 0.841 0.559 0.154
O: 0.142 0.773 0.406
O: 0.457 0.186 0.274
O: 0.642 0.156 0.023
O: 0.503 0.674 0.836
Cd: 0.465 0.821 0.229
Cd: 0.965 0.979 0.071

## Properties
D(E_F) = 0.00 states/eV/atom
space group = Cc
total DFT energy (no corrections) = -0.3023 Ry/atom



No. 3
Compound: Ba3Tb3ScSe8
Source: Alexandria via LeMat-Bulk
Functional: PBE
Structure: relaxed

abc: 8.392 8.393 8.962
angles: 117.92 90.00 119.99
Positions (direct):
Se: 0.231 0.975 0.705
Se: 0.255 0.025 0.295
Se: 0.738 0.477 0.715
Se: 0.769 0.025 0.295
Se: 0.770 0.540 0.294
Se: 0.262 0.523 0.285
Se: 0.745 0.975 0.705
Se: 0.230 0.460 0.706
Ba: 0.000 0.500 0.000
Ba: 0.000 0.000 0.000
Ba: 0.500 0.500 0.000
Tb: 0.500 0.000 0.500
Tb: 0.500 0.500 0.500
Tb: 0.000 0.500 0.500
Sc: 0.000 0.000 0.500

## Properties
D(E_F) = 0.25 states/eV/atom
space group = R-3m
total DFT energy (no corrections) = -0.4030 Ry/atom



No. 4
Compound: BaHfV2Si
Source: Alexandria via LeMat-Bulk
Functional: PBE
Structure: relaxed

abc: 4.902 5.117 4.902
angles: 90.00 90.00 90.00
Each line ends with the local moment (μB).
Positions (direct):
Si: 0.000 0.000 0.000  0.06
V: 0.000 0.000 0.500  -2.50
V: 0.500 0.000 0.000  -2.24
Hf: 0.000 0.500 0.000  0.50
Ba: 0.500 0.500 0.500  -0.03

## Properties
D(E_F) = 1.34 states/eV/atom
space group = P4/mmm
total DFT energy (no corrections) = -0.4703 Ry/atom



No. 5
Compound: Fe2Mo
Source: Alexandria via LeMat-Bulk
Functional: PBE
Structure: relaxed

abc: 4.107 4.107 5.052
angles: 90.00 90.00 120.00
Each line ends with the local moment (μB).
Positions (direct):
Fe: 0.667 0.333 0.750  0.58
Fe: 0.000 0.000 0.500  -0.40
Fe: 0.333 0.667 0.250  0.58
Fe: 0.000 0.000 0.000  -0.40
Mo: 0.333 0.667 0.750  -0.04
Mo: 0.667 0.333 0.250  -0.04

## Properties
D(E_F) = 0.85 states/eV/atom
space group = P6_3/mmc
formation enthalpy at 0 K = 0.18 eV per atom



No. 6
Compound: CdNiMo2
Source: Alexandria via LeMat-Bulk
Functional: PBE
Structure: relaxed

abc: 5.101 5.101 5.101
angles: 143.04 125.91 67.32
Positions (direct):
Cd: 0.261 0.761 0.500
Mo: 0.976 0.976 0.000
Mo: 0.749 0.249 0.500
Ni: 0.514 0.514 0.000

## Properties
D(E_F) = 0.99 states/eV/atom
space group = Imm2
formation enthalpy at 0 K = 0.38 eV per atom



For reference, size of the total moment by record: 0.000; 0.000; 0.000; 5.177; 0.154; 0.000 μB/f.u..